[1]
BiTe2As: optimized geometry, PBE.

a = 9.951 Å, b = 9.951 Å, c = 9.951 Å
α = 22.90°, β = 22.90°, γ = 22.90°
Sites, in units of the cell vectors:
Te: 0.107 0.107 0.107
Te: 0.893 0.893 0.893
Bi: 0.000 0.000 0.000
As: 0.500 0.500 0.500

Summary:
E above lowest polymorph = 0.037 eV/atom
Formation energy (no corrections) = 0.11 eV/atom

[2]
DyMgGa6: optimized geometry, PBE.

a = 4.243 Å, b = 4.243 Å, c = 8.435 Å
α = 90.00°, β = 90.00°, γ = 90.00°
Sites, in units of the cell vectors:
Mg: 0.000 0.000 0.500
Ga: 0.500 0.500 0.500
Ga: 0.000 0.500 0.260
Ga: 0.500 0.000 0.740
Ga: 0.500 0.000 0.260
Ga: 0.500 0.500 0.000
Ga: 0.000 0.500 0.740
Dy: 0.000 0.000 0.000

Summary:
Calculated formation energy = -0.297 eV/atom

[3]
SmAlPt: optimized geometry, PBE.

a = 3.418 Å, b = 3.990 Å, c = 5.054 Å
α = 90.00°, β = 90.00°, γ = 90.00°
Sites, in units of the cell vectors:
Al: 0.000 0.500 0.500
Pt: 0.500 0.000 0.500
Sm: 0.000 0.000 0.000

Summary:
Calculated formation energy = -0.634 eV/atom

[4]
Nd6SmDy2Y: optimized geometry, PBE.

a = 9.738 Å, b = 8.985 Å, c = 8.985 Å
α = 117.85°, β = 93.93°, γ = 93.93°
Sites, in units of the cell vectors:
Y: 0.250 0.410 0.590
Y: 0.750 0.590 0.410
Nd: 0.685 0.013 0.565
Nd: 0.315 0.987 0.435
Nd: 0.619 0.490 0.707
Nd: 0.881 0.293 0.510
Nd: 0.055 0.116 0.759
Nd: 0.555 0.759 0.116
Nd: 0.815 0.435 0.987
Nd: 0.945 0.884 0.241
Nd: 0.185 0.565 0.013
Nd: 0.119 0.707 0.490
Nd: 0.381 0.510 0.293
Nd: 0.445 0.241 0.884
Sm: 0.250 0.973 0.027
Sm: 0.750 0.027 0.973
Dy: 0.045 0.299 0.201
Dy: 0.455 0.799 0.701
Dy: 0.955 0.701 0.799
Dy: 0.545 0.201 0.299

Summary:
Calculated formation energy = 0.112 eV/atom

[5]
La6Tb4Sm: optimized geometry, PBE.

a = 9.914 Å, b = 9.914 Å, c = 9.914 Å
α = 56.65°, β = 140.80°, γ = 140.80°
Sites, in units of the cell vectors:
Tb: 0.000 0.636 0.005
Tb: 0.000 0.005 0.636
Tb: 0.631 0.995 0.995
Tb: 0.369 0.364 0.364
La: 0.500 0.500 0.000
La: 0.000 0.806 0.457
La: 0.652 0.194 0.194
La: 0.348 0.543 0.543
La: 0.500 0.000 0.500
La: 0.000 0.457 0.806
Sm: 0.000 0.000 0.000

Summary:
Calculated formation energy = 0.259 eV/atom

[6]
Y4HgS2: optimized geometry, PBE.

a = 3.968 Å, b = 6.760 Å, c = 13.630 Å
α = 90.00°, β = 90.00°, γ = 107.07°
Sites, in units of the cell vectors:
S: 0.135 0.269 0.441
S: 0.865 0.731 0.559
S: 0.865 0.731 0.941
S: 0.135 0.269 0.059
Y: 0.768 0.537 0.383
Y: 0.500 0.000 0.500
Y: 0.232 0.463 0.883
Y: 0.232 0.463 0.617
Y: 0.768 0.537 0.117
Y: 0.500 0.000 0.000
Y: 0.067 0.134 0.250
Y: 0.933 0.866 0.750
Hg: 0.612 0.224 0.750
Hg: 0.388 0.776 0.250

Summary:
Formation energy (no corrections) = -1.34 eV/atom

[7]
MgBiTe3Au: optimized geometry, PBE.

a = 4.471 Å, b = 8.691 Å, c = 9.604 Å
α = 100.34°, β = 90.00°, γ = 90.00°
Sites, in units of the cell vectors:
Te: 0.250 0.722 0.466
Te: 0.250 0.590 0.860
Te: 0.250 0.103 0.858
Te: 0.750 0.410 0.140
Te: 0.750 0.897 0.142
Te: 0.750 0.278 0.534
Au: 0.750 0.900 0.491
Au: 0.250 0.100 0.509
Mg: 0.250 0.658 0.165
Mg: 0.750 0.342 0.835
Bi: 0.250 0.164 0.180
Bi: 0.750 0.836 0.820

Summary:
Formation energy (no corrections) = -0.32 eV/atom

[8]
TaAlCd: optimized geometry, PBE.

a = 7.040 Å, b = 6.964 Å, c = 2.879 Å
α = 79.62°, β = 76.66°, γ = 23.72°
Sites, in units of the cell vectors:
Cd: 0.334 0.334 0.666
Al: 0.009 0.009 0.991
Ta: 0.657 0.657 0.343

Summary:
Calculated formation energy = 0.077 eV/atom
E above lowest polymorph = 0.000 eV/atom

[9]
PmNdPaIn: optimized geometry, PBE.

a = 5.450 Å, b = 5.450 Å, c = 5.450 Å
α = 60.00°, β = 60.00°, γ = 60.00°
Sites, in units of the cell vectors:
In: 0.250 0.250 0.250
Nd: 0.500 0.500 0.500
Pm: 0.000 0.000 0.000
Pa: 0.750 0.750 0.750

Summary:
Calculated formation energy = 0.131 eV/atom

[10]
CsZr2Ta: optimized geometry, PBE.

a = 5.176 Å, b = 5.176 Å, c = 5.176 Å
α = 60.00°, β = 60.00°, γ = 60.00°
Sites, in units of the cell vectors:
Zr: 0.750 0.750 0.750
Zr: 0.250 0.250 0.250
Ta: 0.500 0.500 0.500
Cs: 0.000 0.000 0.000

Summary:
Calculated formation energy = 1.274 eV/atom
E above lowest polymorph = 0.000 eV/atom

[11]
SrIn2Ga: optimized geometry, PBE.

a = 4.873 Å, b = 4.713 Å, c = 4.713 Å
α = 90.00°, β = 90.00°, γ = 90.00°
Sites, in units of the cell vectors:
In: 0.000 0.000 0.500
In: 0.000 0.500 0.000
Sr: 0.500 0.000 0.000
Ga: 0.500 0.500 0.500

Summary:
Calculated formation energy = -0.257 eV/atom

[12]
Pm3DyBi2: optimized geometry, PBE.

a = 4.622 Å, b = 4.622 Å, c = 8.886 Å
α = 90.00°, β = 90.00°, γ = 90.00°
Sites, in units of the cell vectors:
Bi: 0.000 0.500 0.279
Bi: 0.500 0.000 0.721
Pm: 0.000 0.000 0.000
Pm: 0.500 0.000 0.351
Pm: 0.000 0.500 0.649
Dy: 0.500 0.500 0.000

Summary:
Calculated formation energy = -0.646 eV/atom
E above lowest polymorph = 0.000 eV/atom

[13]
SrDy4Pb4: optimized geometry, PBE.

a = 6.214 Å, b = 10.290 Å, c = 10.290 Å
α = 90.00°, β = 90.00°, γ = 90.00°
Sites, in units of the cell vectors:
Dy: 0.403 0.636 0.115
Dy: 0.403 0.364 0.885
Dy: 0.097 0.864 0.385
Dy: 0.597 0.115 0.364
Dy: 0.597 0.885 0.636
Dy: 0.903 0.615 0.864
Dy: 0.903 0.385 0.136
Dy: 0.097 0.136 0.615
Pb: 0.421 0.342 0.189
Pb: 0.921 0.311 0.842
Pb: 0.421 0.658 0.811
Pb: 0.079 0.158 0.311
Pb: 0.921 0.689 0.158
Pb: 0.579 0.189 0.658
Pb: 0.579 0.811 0.342
Pb: 0.079 0.842 0.689
Sr: 0.500 0.500 0.500
Sr: 0.000 0.000 0.000

Summary:
Calculated formation energy = -0.319 eV/atom

[14]
ZrSc4In2: optimized geometry, PBE.

a = 4.978 Å, b = 4.978 Å, c = 8.439 Å
α = 72.85°, β = 72.85°, γ = 90.00°
Sites, in units of the cell vectors:
Sc: 0.820 0.820 0.361
Sc: 0.500 0.000 0.000
Sc: 0.000 0.500 0.000
Sc: 0.180 0.180 0.639
Zr: 0.000 0.000 0.000
In: 0.626 0.626 0.749
In: 0.374 0.374 0.251

Summary:
Calculated formation energy = 0.432 eV/atom
E above lowest polymorph = 0.674 eV/atom

[15]
Ce2TaCr2C4: optimized geometry, PBE.

a = 3.255 Å, b = 6.417 Å, c = 6.005 Å
α = 105.65°, β = 90.00°, γ = 104.69°
Sites, in units of the cell vectors:
C: 0.215 0.429 0.200
C: 0.466 0.932 0.233
C: 0.785 0.571 0.800
C: 0.534 0.068 0.767
Ce: 0.127 0.254 0.538
Ce: 0.873 0.746 0.462
Ta: 0.000 0.000 0.000
Cr: 0.678 0.356 0.004
Cr: 0.322 0.644 0.996

Summary:
Calculated formation energy = -0.199 eV/atom

[16]
Mn5Ru3: optimized geometry, PBE.

a = 7.540 Å, b = 7.539 Å, c = 6.796 Å
α = 96.40°, β = 96.40°, γ = 143.07°
Site moments in Bohr magnetons follow the coordinates.
Sites, in units of the cell vectors:
Ru: 0.685 0.185 0.869  -0.09
Ru: 0.834 0.701 0.534  0.08
Ru: 0.214 0.214 0.927  -0.11
Ru: 0.201 0.334 0.534  0.08
Ru: 0.714 0.714 0.927  -0.11
Ru: 0.347 0.847 0.195  0.09
Mn: 0.731 0.940 0.671  -2.44
Mn: 0.574 0.695 0.270  3.08
Mn: 0.944 0.238 0.183  3.19
Mn: 0.440 0.231 0.671  -2.44
Mn: 0.195 0.074 0.270  3.08
Mn: 0.095 0.774 0.868  2.74
Mn: 0.772 0.272 0.519  -1.90
Mn: 0.247 0.747 0.519  -1.91
Mn: 0.738 0.444 0.183  3.19
Mn: 0.274 0.595 0.868  2.74

Summary:
Calculated formation energy = 0.204 eV/atom
E above lowest polymorph = 0.155 eV/atom

Total magnetic moment (μB/atom)
0.000, 0.000, 0.000, 0.000, 0.000, 0.000, 0.000, 0.000, 0.000, 0.000, 0.000, 0.000, 0.000, 0.000, 0.000, 0.596
Calculated volume (Å³ per cell)
130.9, 151.8, 68.9, 688.9, 386.1, 349.5, 367.1, 55.1, 114.5, 98.0, 108.3, 189.8, 658.0, 190.1, 116.5, 217.3